## 1
The following is a meta-GGA SCAN calculation of a PBEsol-optimized structure of LaNiIr2, from Alexandria.

Cell and atoms, written as POSCAR:
```
LaNiIr2
1.0
3.175 0.000 0.000
0.000 3.175 0.000
0.000 0.000 6.762
Ir La Ni
2 1 1
direct
0.000 0.000 0.977
0.500 0.500 0.194
0.000 0.000 0.513
0.500 0.500 0.817
```

Values from the calculation:
Total magnetic moment ... 0.0 Bohr magnetons per cell



## 2
The following is a meta-GGA SCAN calculation of a PBEsol-optimized structure of LaNiIr2, from Alexandria.

Cell and atoms, written as POSCAR:
```
LaNiIr2
1.0
-0.966 2.559 1.150
-3.775 -2.172 1.661
2.318 -0.941 4.039
Ir La Ni
2 1 1
direct
0.000 0.000 0.000
0.500 0.500 0.000
0.500 0.000 0.500
0.000 0.500 0.500
```

Values from the calculation:
Total magnetic moment ... 0.0 Bohr magnetons per cell



## 3
The following is a meta-GGA SCAN calculation of a PBEsol-optimized structure of LaNiIr2, from Alexandria.

Cell and atoms, written as POSCAR:
```
LaNiIr2
1.0
2.991 0.000 0.000
0.000 4.840 -0.020
0.000 -1.521 4.595
Ir La Ni
2 1 1
direct
0.000 0.500 0.000
0.000 0.000 0.500
0.500 0.000 0.000
0.500 0.500 0.500
```

Values from the calculation:
Total magnetic moment ... 0.0 Bohr magnetons per cell



Stability, highest: 2



## 1
The following is a meta-GGA SCAN calculation of a PBEsol-optimized structure of LaIrPt2, from Alexandria.

Cell and atoms, written as POSCAR:
```
LaIrPt2
1.0
4.686 0.000 0.000
2.343 4.058 0.000
2.343 1.353 3.826
Ir La Pt
1 1 2
direct
0.500 0.500 0.500
0.250 0.250 0.250
0.000 0.000 0.000
0.750 0.750 0.750
```

Values from the calculation:
Total magnetic moment ... 0.0 Bohr magnetons per cell



## 2
The following is a meta-GGA SCAN calculation of a PBEsol-optimized structure of LaIrPt2, from Alexandria.

Cell and atoms, written as POSCAR:
```
LaIrPt2
1.0
-1.103 1.921 -3.871
-3.970 -0.836 -1.853
-3.592 4.090 0.483
Ir La Pt
1 1 2
direct
0.000 0.000 0.000
0.500 0.500 0.500
0.698 0.698 0.905
0.302 0.302 0.095
```

Values from the calculation:
Total magnetic moment ... 0.0 Bohr magnetons per cell



Stability, highest: 2



## 1
The following is a meta-GGA SCAN calculation of a PBEsol-optimized structure of LaRe2Ir, from Alexandria.

Cell and atoms, written as POSCAR:
```
LaRe2Ir
1.0
-2.289 0.062 1.556
1.545 -0.258 2.283
0.640 8.980 0.582
Ir La Re
1 1 2
direct
0.500 0.500 0.000
0.500 0.500 0.500
0.000 0.000 0.792
0.000 0.000 0.208
```

Values from the calculation:
Total magnetic moment ... 0.0 Bohr magnetons per cell



## 2
The following is a meta-GGA SCAN calculation of a PBEsol-optimized structure of LaRe2Ir, from Alexandria.

Cell and atoms, written as POSCAR:
```
LaRe2Ir
1.0
-0.330 -3.501 2.627
0.942 -0.779 -4.588
4.093 -1.179 -1.059
Ir La Re
1 1 2
direct
0.500 0.000 0.500
0.750 0.500 0.750
0.000 0.000 0.000
0.250 0.500 0.250
```

Values from the calculation:
Total magnetic moment ... 0.0 Bohr magnetons per cell



Stability, highest: 1



## 1
The following is a meta-GGA SCAN calculation of a PBEsol-optimized structure of LaIr2Rh, from Alexandria.

Cell and atoms, written as POSCAR:
```
LaIr2Rh
1.0
-4.044 0.389 -0.003
-0.324 -3.357 2.264
2.403 3.782 2.308
Ir La Rh
2 1 1
direct
0.750 0.250 0.500
0.250 0.750 0.500
0.000 0.000 0.000
0.500 0.500 0.000
```

Values from the calculation:
Total magnetic moment ... 0.0 Bohr magnetons per cell



## 2
The following is a meta-GGA SCAN calculation of a PBEsol-optimized structure of LaIr2Rh, from Alexandria.

Cell and atoms, written as POSCAR:
```
LaIr2Rh
1.0
2.796 0.000 0.000
0.000 3.871 0.000
0.000 0.000 6.474
Ir La Rh
2 1 1
direct
0.000 0.000 0.697
0.000 0.000 0.303
0.500 0.500 0.000
0.500 0.500 0.500
```

Values from the calculation:
Total magnetic moment ... 0.0 Bohr magnetons per cell



Stability, highest: 2



## 1
The following is a meta-GGA SCAN calculation of a PBEsol-optimized structure of LaIrS2, from Alexandria.

Cell and atoms, written as POSCAR:
```
LaIrS2
1.0
-4.539 0.872 -0.644
-2.832 0.465 3.680
-1.748 4.189 1.085
S Ir La
2 1 1
direct
0.250 0.250 0.250
0.750 0.750 0.750
0.500 0.500 0.500
0.000 0.000 0.000
```

Values from the calculation:
Total magnetic moment ... 2.0 Bohr magnetons per cell



## 2
The following is a meta-GGA SCAN calculation of a PBEsol-optimized structure of LaIrS2, from Alexandria.

Cell and atoms, written as POSCAR:
```
LaIrS2
1.0
4.960 0.000 0.000
0.000 4.960 0.000
-2.480 -2.480 7.189
S Ir La
4 2 2
direct
0.290 0.875 0.250
0.960 0.375 0.250
0.125 0.040 0.750
0.625 0.710 0.750
0.250 0.750 0.500
0.000 0.000 0.000
0.750 0.250 0.500
0.500 0.500 0.000
```

Values from the calculation:
Total magnetic moment ... 0.0 Bohr magnetons per cell



Stability, highest: 2



## 1
The following is a meta-GGA SCAN calculation of a PBEsol-optimized structure of LaIrSe2, from Alexandria.

Cell and atoms, written as POSCAR:
```
LaIrSe2
1.0
-1.269 -1.819 -3.186
4.302 -3.189 0.107
-3.566 -0.183 3.889
Ir La Se
1 1 2
direct
0.500 0.000 0.000
0.000 0.500 0.000
0.813 0.813 0.627
0.187 0.187 0.373
```

Values from the calculation:
Total magnetic moment ... 0.0 Bohr magnetons per cell



## 2
The following is a meta-GGA SCAN calculation of a PBEsol-optimized structure of LaIrSe2, from Alexandria.

Cell and atoms, written as POSCAR:
```
LaIrSe2
1.0
-3.586 2.850 -0.259
0.783 -1.379 -4.306
-1.336 -4.126 2.870
Ir La Se
1 1 2
direct
0.500 0.500 0.000
0.000 0.000 0.000
0.500 0.000 0.500
0.000 0.500 0.500
```

Values from the calculation:
Total magnetic moment ... 0.0 Bohr magnetons per cell



## 3
The following is a meta-GGA SCAN calculation of a PBEsol-optimized structure of LaIrSe2, from Alexandria.

Cell and atoms, written as POSCAR:
```
LaIrSe2
1.0
-2.353 2.965 0.219
-0.009 -2.365 2.964
4.962 3.718 2.982
Ir La Se
1 1 2
direct
0.500 0.500 0.500
0.500 0.500 0.000
0.000 0.000 0.290
0.000 0.000 0.710
```

Values from the calculation:
Total magnetic moment ... 0.0 Bohr magnetons per cell



Stability, highest: 1



## 1
The following is a meta-GGA SCAN calculation of a PBEsol-optimized structure of La2IrSe, from Alexandria.

Cell and atoms, written as POSCAR:
```
La2IrSe
1.0
-1.644 -2.931 2.755
1.597 -0.331 4.028
-4.555 3.505 4.438
Ir La Se
1 2 1
direct
0.210 0.210 0.370
0.963 0.963 0.110
0.787 0.787 0.639
0.540 0.540 0.381
```

Values from the calculation:
Total magnetic moment ... 0.8 Bohr magnetons per cell



## 2
The following is a meta-GGA SCAN calculation of a PBEsol-optimized structure of La2IrSe, from Alexandria.

Cell and atoms, written as POSCAR:
```
La2IrSe
1.0
4.140 0.000 0.000
2.070 3.585 0.000
2.070 1.195 7.186
Ir Se La
1 1 2
direct
0.000 0.000 0.000
0.500 0.500 0.500
0.258 0.258 0.226
0.742 0.742 0.774
```

Values from the calculation:
Total magnetic moment ... 0.0 Bohr magnetons per cell



## 3
The following is a meta-GGA SCAN calculation of a PBEsol-optimized structure of La2IrSe, from Alexandria.

Cell and atoms, written as POSCAR:
```
La2IrSe
1.0
3.583 0.000 0.014
0.000 3.583 0.000
-0.039 0.000 7.367
Ir La Se
1 2 1
direct
0.500 0.500 0.500
0.999 0.000 0.732
0.001 0.000 0.268
0.500 0.500 0.000
```

Values from the calculation:
Total magnetic moment ... 0.0 Bohr magnetons per cell



## 4
The following is a meta-GGA SCAN calculation of a PBEsol-optimized structure of La2IrSe, from Alexandria.

Cell and atoms, written as POSCAR:
```
La2IrSe
1.0
4.210 0.000 0.000
0.000 4.210 0.000
0.000 0.000 5.918
Ir Se La
1 1 2
direct
0.500 0.500 0.876
0.000 0.000 0.375
0.000 0.000 0.875
0.500 0.500 0.374
```

Values from the calculation:
Total magnetic moment ... 0.0 Bohr magnetons per cell



Stability, highest: 2



## 1
The following is a meta-GGA SCAN calculation of a PBEsol-optimized structure of Sr2LaIr, from Alexandria.

Cell and atoms, written as POSCAR:
```
Sr2LaIr
1.0
-0.595 -0.029 3.838
-0.509 -4.199 -0.111
8.872 1.019 1.382
Sr Ir La
2 1 1
direct
0.000 0.964 0.928
0.500 0.282 0.563
0.000 0.138 0.277
0.500 0.615 0.230
```

Values from the calculation:
Total magnetic moment ... 0.0 Bohr magnetons per cell



## 2
The following is a meta-GGA SCAN calculation of a PBEsol-optimized structure of Sr2LaIr, from Alexandria.

Cell and atoms, written as POSCAR:
```
Sr2LaIr
1.0
-2.108 2.585 1.182
-2.832 -1.782 -1.153
-0.709 -4.693 8.998
Ir La Sr
1 1 2
direct
0.500 0.500 0.000
0.500 0.500 0.500
0.000 0.000 0.828
0.000 0.000 0.172
```

Values from the calculation:
Total magnetic moment ... 0.1 Bohr magnetons per cell



## 3
The following is a meta-GGA SCAN calculation of a PBEsol-optimized structure of Sr2LaIr, from Alexandria.

Cell and atoms, written as POSCAR:
```
Sr2LaIr
1.0
-3.123 4.243 0.915
-1.429 1.239 5.002
2.025 4.351 2.359
Ir La Sr
1 1 2
direct
0.000 0.000 0.000
0.500 0.500 0.500
0.250 0.250 0.250
0.750 0.750 0.750
```

Values from the calculation:
Total magnetic moment ... 0.0 Bohr magnetons per cell



Stability, highest: 1